(1)
Sr2CuH6Pt | PBE | optimized geometry

Summary:
total energy: -3.7733 eV/atom
DOS at the Fermi energy: 0.7 states/eV per cell

abc: 5.719 5.719 5.719
angles: 126.74 126.74 78.67
Atoms (fractional coordinates):
Sr 0.000 0.500 0.500
Sr 0.500 0.000 0.500
Cu 0.255 0.255 0.000
H 0.441 0.441 0.000
H 0.492 0.492 0.518
H 0.492 0.975 0.000
H 0.970 0.970 0.000
H 0.975 0.492 0.000
H 0.975 0.975 0.482
Pt 0.762 0.762 0.000

=====

(2)
K2TiN2 | PBE | optimized geometry

Summary:
total energy: -5.7089 eV/atom
DOS at the Fermi energy: 2.2 states/eV per cell
E_form (uncorrected): -0.361 eV/atom

abc: 3.207 3.207 10.502
angles: 90.00 90.00 120.00
Atoms (fractional coordinates):
K 0.333 0.667 0.223
K 0.667 0.333 0.777
Ti 0.000 0.000 0.500
N 0.333 0.667 0.601
N 0.667 0.333 0.399

=====

(3)
Pa3Ge2C | PBE | optimized geometry

Summary:
total energy: -8.1139 eV/atom
DOS at the Fermi energy: 14.6 states/eV per cell
E_form: -0.289 eV/atom

abc: 6.878 6.878 6.724
angles: 99.48 99.48 118.49
Atoms (fractional coordinates):
Pa 0.000 0.500 0.000
Pa 0.136 0.282 0.496
Pa 0.282 0.136 0.996
Pa 0.500 0.000 0.500
Pa 0.718 0.864 0.004
Pa 0.864 0.718 0.504
Ge 0.264 0.736 0.750
Ge 0.419 0.581 0.250
Ge 0.581 0.419 0.750
Ge 0.736 0.264 0.250
C 0.078 0.922 0.250
C 0.922 0.078 0.750

=====

(4)
RePdSe4 | PBE | optimized geometry

Summary:
total energy: -5.3685 eV/atom
DOS at the Fermi energy: 9.0 states/eV per cell
E_form (uncorrected): -0.105 eV/atom

abc: 8.130 8.130 5.468
angles: 107.87 107.87 119.80
Atoms (fractional coordinates):
Re 0.048 0.952 0.750
Re 0.952 0.048 0.250
Pd 0.307 0.693 0.250
Pd 0.693 0.307 0.750
Se 0.019 0.623 0.776
Se 0.211 0.325 0.831
Se 0.325 0.211 0.331
Se 0.377 0.981 0.724
Se 0.623 0.019 0.276
Se 0.675 0.789 0.669
Se 0.789 0.675 0.169
Se 0.981 0.377 0.224

=====

(5)
SrReAs | PBE | optimized geometry

Summary:
total energy: -6.2412 eV/atom
distance to the lowest polymorph of the same formula: 0.000 eV per formula unit
DOS at the Fermi energy: 1.7 states/eV per cell
E_form: 0.019 eV/atom

abc: 4.184 4.184 4.909
angles: 90.00 90.00 120.00
Atoms (fractional coordinates):
Sr 0.000 0.000 0.000
Re 0.667 0.333 0.500
As 0.333 0.667 0.500

=====

(6)
Er3TlAg | PBE | optimized geometry

Summary:
total energy: -4.0233 eV/atom
distance to the lowest polymorph of the same formula: 0.000 eV per formula unit
DOS at the Fermi energy: 10.5 states/eV per cell
E_form: -0.242 eV/atom

abc: 10.560 10.560 5.095
angles: 90.00 90.00 152.10
Atoms (fractional coordinates):
Er 0.061 0.939 0.750
Er 0.250 0.750 0.750
Er 0.439 0.561 0.750
Er 0.561 0.439 0.250
Er 0.750 0.250 0.250
Er 0.939 0.061 0.250
Tl 0.156 0.844 0.250
Tl 0.844 0.156 0.750
Ag 0.342 0.658 0.250
Ag 0.658 0.342 0.750

=====

(7)
Rb2CaIn | PBE | optimized geometry

Summary:
total energy: -1.4815 eV/atom
DOS at the Fermi energy: 11.2 states/eV per cell
E_form: 0.187 eV/atom

abc: 9.524 9.524 9.524
angles: 96.38 96.38 141.07
Atoms (fractional coordinates):
Rb 0.007 0.625 0.882
Rb 0.375 0.257 0.382
Rb 0.743 0.125 0.118
Rb 0.875 0.993 0.618
Ca 0.250 0.750 0.500
Ca 0.500 0.500 0.000
In 0.000 0.000 0.000
In 0.750 0.250 0.500

=====

(8)
Al2Ga4Ag | PBE | optimized geometry

Summary:
total energy: -3.0884 eV/atom
distance to the lowest polymorph of the same formula: 0.274 eV per formula unit
DOS at the Fermi energy: 10.1 states/eV per cell
E_form: 0.118 eV/atom

abc: 9.167 9.167 9.167
angles: 60.00 60.00 60.00
Atoms (fractional coordinates):
Al 0.118 0.794 0.794
Al 0.206 0.206 0.206
Al 0.206 0.206 0.882
Al 0.206 0.882 0.206
Al 0.794 0.118 0.794
Al 0.794 0.794 0.118
Al 0.794 0.794 0.794
Al 0.882 0.206 0.206
Ga 0.000 0.000 0.000
Ga 0.000 0.000 0.500
Ga 0.000 0.500 0.000
Ga 0.142 0.142 0.608
Ga 0.142 0.608 0.142
Ga 0.142 0.608 0.608
Ga 0.392 0.392 0.858
Ga 0.392 0.858 0.392
Ga 0.392 0.858 0.858
Ga 0.500 0.000 0.000
Ga 0.608 0.142 0.142
Ga 0.608 0.142 0.608
Ga 0.608 0.608 0.142
Ga 0.858 0.392 0.392
Ga 0.858 0.392 0.858
Ga 0.858 0.858 0.392
Ag 0.000 0.500 0.500
Ag 0.500 0.000 0.500
Ag 0.500 0.500 0.000
Ag 0.500 0.500 0.500

=====

(9)
Ba4HgBi3 | PBE | optimized geometry

Summary:
total energy: -3.2454 eV/atom
DOS at the Fermi energy: 4.0 states/eV per cell
E_form: -0.791 eV/atom

abc: 9.857 9.857 9.857
angles: 144.29 144.29 51.40
Atoms (fractional coordinates):
Ba 0.129 0.629 0.500
Ba 0.371 0.871 0.500
Ba 0.629 0.129 0.500
Ba 0.871 0.371 0.500
Hg 0.000 0.000 0.000
Bi 0.242 0.242 0.000
Bi 0.500 0.500 0.000
Bi 0.758 0.758 0.000

=====

(10)
CoSn2HgSb | PBE | optimized geometry

Summary:
total energy: -3.7791 eV/atom
DOS at the Fermi energy: 3.6 states/eV per cell
E_form (uncorrected): 0.128 eV/atom

abc: 5.015 5.015 4.954
angles: 90.00 90.00 90.00
Atoms (fractional coordinates):
Co 0.000 0.000 0.000
Sn 0.000 0.500 0.000
Sn 0.500 0.000 0.000
Hg 0.500 0.500 0.500
Sb 0.000 0.000 0.500

=====

(11)
Nd3SbPd12 | PBE | optimized geometry

Summary:
total energy: -5.7169 eV/atom
DOS at the Fermi energy: 5.7 states/eV per cell
E_form (uncorrected): -0.671 eV/atom

abc: 4.188 4.188 16.491
angles: 90.00 90.00 90.00
Atoms (fractional coordinates):
Nd 0.000 0.000 0.000
Nd 0.000 0.000 0.253
Nd 0.000 0.000 0.747
Sb 0.000 0.000 0.500
Pd 0.000 0.500 0.128
Pd 0.000 0.500 0.386
Pd 0.000 0.500 0.614
Pd 0.000 0.500 0.872
Pd 0.500 0.000 0.128
Pd 0.500 0.000 0.386
Pd 0.500 0.000 0.614
Pd 0.500 0.000 0.872
Pd 0.500 0.500 0.000
Pd 0.500 0.500 0.259
Pd 0.500 0.500 0.500
Pd 0.500 0.500 0.741

=====

(12)
PrTm3Ag4 | PBE | optimized geometry

Summary:
total energy: -4.0047 eV/atom
DOS at the Fermi energy: 5.0 states/eV per cell
E_form: -0.305 eV/atom

abc: 5.130 5.130 7.329
angles: 90.00 90.00 90.00
Atoms (fractional coordinates):
Pr 0.000 0.000 0.000
Tm 0.000 0.000 0.500
Tm 0.500 0.500 0.000
Tm 0.500 0.500 0.500
Ag 0.000 0.500 0.265
Ag 0.000 0.500 0.735
Ag 0.500 0.000 0.265
Ag 0.500 0.000 0.735

=====

Look up the DOS at the Fermi energy of the tenth one.
3.6 states/eV per cell

=====

Repeat the first record exactly.
Sr2CuH6Pt | PBE | optimized geometry

Summary:
total energy: -3.7733 eV/atom
DOS at the Fermi energy: 0.7 states/eV per cell

abc: 5.719 5.719 5.719
angles: 126.74 126.74 78.67
Atoms (fractional coordinates):
Sr 0.000 0.500 0.500
Sr 0.500 0.000 0.500
Cu 0.255 0.255 0.000
H 0.441 0.441 0.000
H 0.492 0.492 0.518
H 0.492 0.975 0.000
H 0.970 0.970 0.000
H 0.975 0.492 0.000
H 0.975 0.975 0.482
Pt 0.762 0.762 0.000

=====

Which formula does entry 1 have?
Sr2CuH6Pt